The following is a DFT calculation (meta-GGA SCAN) of a PBEsol-optimized structure of Sb2TeOsI.

- raw total energy (eV/atom) = -41.726
- crystal system = tetragonal

Lattice parameters (Å, degrees): 5.630 5.630 5.533 90.00 90.00 90.00
Space group P4/mmm (No. 123)
Asymmetric unit:
Sb  0.000  0.500  0.000 (multiplicity 2)
Te  0.000  0.000  0.500 (multiplicity 1)
Os  0.500  0.500  0.500 (multiplicity 1)
I  0.000  0.000  0.000 (multiplicity 1)

The following is a DFT calculation (meta-GGA SCAN) of a PBEsol-optimized structure of SbTe2OsI.

- raw total energy (eV/atom) = -41.860
- crystal system = tetragonal

Lattice parameters (Å, degrees): 5.603 5.603 5.708 90.00 90.00 90.00
Space group P4/mmm (No. 123)
Asymmetric unit:
Sb  0.000  0.000  0.000 (multiplicity 1)
Te  0.000  0.500  0.500 (multiplicity 2)
Os  0.500  0.500  0.000 (multiplicity 1)
I  0.000  0.000  0.500 (multiplicity 1)

The following is a DFT calculation (meta-GGA SCAN) of a PBEsol-optimized structure of ScOsI3.

- raw total energy (eV/atom) = -38.639
- crystal system = cubic

Lattice parameters (Å, degrees): 5.263 5.263 5.263 90.00 90.00 90.00
Space group Pm-3m (No. 221)
Asymmetric unit:
Sc  0.000  0.000  0.000 (multiplicity 1)
Os  0.500  0.500  0.500 (multiplicity 1)
I  0.000  0.500  0.500 (multiplicity 3)

The following is a DFT calculation (meta-GGA SCAN) of a PBEsol-optimized structure of ScTe2OsI.

- raw total energy (eV/atom) = -38.970
- crystal system = tetragonal

Lattice parameters (Å, degrees): 5.161 5.161 5.291 90.00 90.00 90.00
Space group P4/mmm (No. 123)
Asymmetric unit:
Sc  0.000  0.000  0.000 (multiplicity 1)
Te  0.000  0.500  0.500 (multiplicity 2)
Os  0.500  0.500  0.500 (multiplicity 1)
I  0.500  0.500  0.000 (multiplicity 1)

Number 1: total magnetization 3.01 μB/cell. Number 2: total magnetization 3.83 μB/cell. Number 3: total magnetization 0.48 μB/cell. Number 4: total magnetization 0.00 μB/cell.